(1)
## Ru3Au (PBE)

Data for crystalline Ru3Au at its relaxed geometry.

Cell: 4.961 4.961 4.961 Å, 90.00 90.00 90.00°
Fractional positions:
Ru  0.000  0.250  0.500
Ru  0.000  0.750  0.500
Ru  0.250  0.500  0.000
Ru  0.500  0.000  0.250
Ru  0.500  0.000  0.750
Ru  0.750  0.500  0.000
Au  0.000  0.000  0.000
Au  0.500  0.500  0.500

Summary:
For the density of states at the Fermi level, the calculation gives 11.98 states/eV per cell. The formation energy comes out at 607 meV per atom. As for the energy: -7.170 eV/atom.

---

(2)
## ZnNi3 (PBE)

Data for crystalline ZnNi3 at its relaxed geometry.

Cell: 4.325 4.325 2.560 Å, 90.00 90.00 107.36°
Fractional positions:
Zn  0.000  0.000  0.000
Ni  0.000  0.500  0.500
Ni  0.500  0.000  0.500
Ni  0.500  0.500  0.000

Summary:
For the density of states at the Fermi level, the calculation gives 5.17 states/eV per cell. The formation energy comes out at -105 meV per atom. As for the energy: -4.759 eV/atom.

---

(3)
## KCaY2 (PBE)

Data for crystalline KCaY2 at its relaxed geometry.

Cell: 3.751 3.751 11.710 Å, 90.00 90.00 90.00°
Fractional positions:
K  0.000  0.000  0.000
Ca  0.500  0.500  0.698
Y  0.000  0.000  0.476
Y  0.500  0.500  0.284

Summary:
For the density of states at the Fermi level, the calculation gives 6.55 states/eV per cell. The formation energy comes out at 182 meV per atom. As for the energy: -3.825 eV/atom.

---

(4)
## Tb3Pu (PBE)

Data for crystalline Tb3Pu at its relaxed geometry.

Cell: 5.597 5.597 5.597 Å, 60.00 60.00 60.00°
Fractional positions:
Tb  0.000  0.000  0.000
Tb  0.250  0.250  0.250
Tb  0.750  0.750  0.750
Pu  0.500  0.500  0.500

Summary:
For the density of states at the Fermi level, the calculation gives 10.86 states/eV per cell. The formation energy comes out at 202 meV per atom. As for the energy: -6.853 eV/atom.

---

(5)
## Ta2InPdO (PBE)

Data for crystalline Ta2InPdO at its relaxed geometry.

Cell: 5.041 5.041 3.797 Å, 90.00 90.00 90.00°
Fractional positions:
Ta  0.000  0.500  0.000
Ta  0.500  0.000  0.000
In  0.000  0.000  0.500
Pd  0.500  0.500  0.000
O  0.500  0.500  0.500

Summary:
For the density of states at the Fermi level, the calculation gives 3.90 states/eV per cell. As for the energy: -6.410 eV/atom.

---

(6)
## NaCaHgPt (PBE)

Data for crystalline NaCaHgPt at its relaxed geometry.

Cell: 5.046 5.046 5.046 Å, 60.00 60.00 60.00°
Fractional positions:
Na  0.000  0.000  0.000
Ca  0.500  0.500  0.500
Hg  0.750  0.750  0.750
Pt  0.250  0.250  0.250

Summary:
For the density of states at the Fermi level, the calculation gives 2.08 states/eV per cell. The formation energy comes out at -439 meV per atom. As for the energy: -2.855 eV/atom.

---

Question: Look up the energy of the second one.
Answer: -4.759 eV/atom